# 1
LiIr2Pb after structural relaxation, computed with PBE.

Computed properties:
* total energy: -45.1 eV per cell
* energy relative to the elements: 202 meV/atom
* theoretical density: 14.593 g/cm³

a = 8.856 Å, b = 2.957 Å, c = 5.265 Å
α = 90.00°, β = 98.93°, γ = 90.00°
Space group Cm (No. 8)
Unique sites:
1 Li 0.000 0.000 0.000 x2
2 Ir 0.015 0.500 0.583 x2
3 Ir 0.253 0.000 0.771 x2
4 Pb 0.262 0.500 0.269 x2


# 2
LiIrPb after structural relaxation, computed with PBE.

Computed properties:
* total energy: -29.0 eV per cell
* energy relative to the elements: -4 meV/atom
* theoretical density: 13.126 g/cm³

a = 3.245 Å, b = 3.597 Å, c = 8.811 Å
α = 90.00°, β = 90.00°, γ = 90.00°
Space group Imm2 (No. 44)
Unique sites:
1 Li 0.000 0.000 0.000 x2
2 Ir 0.000 0.000 0.356 x2
3 Pb 0.000 0.000 0.681 x2


# 3
LiIrPb3 after structural relaxation, computed with PBE.

Computed properties:
* total energy: -18.1 eV per cell
* energy relative to the elements: 763 meV/atom
* energy relative to the lowest polymorph listed for this composition: 447 meV/atom
* theoretical density: 11.323 g/cm³

a = 4.937 Å, b = 4.937 Å, c = 4.937 Å
α = 90.00°, β = 90.00°, γ = 90.00°
Space group Pm-3m (No. 221)
Unique sites:
1 Li 0.000 0.000 0.000 x1
2 Ir 0.500 0.500 0.500 x1
3 Pb 0.000 0.000 0.500 x3


# 4
LiIrPb2 after structural relaxation, computed with PBE.

Computed properties:
* total energy: -34.9 eV per cell
* energy relative to the elements: 187 meV/atom
* energy relative to the lowest polymorph listed for this composition: 158 meV/atom
* theoretical density: 12.244 g/cm³

a = 4.152 Å, b = 4.152 Å, c = 9.656 Å
α = 90.00°, β = 90.00°, γ = 90.00°
Space group I-4m2 (No. 119)
Unique sites:
1 Li 0.000 0.000 0.000 x2
2 Ir 0.000 0.500 0.250 x2
3 Pb 0.000 0.000 0.500 x2
4 Pb 0.000 0.500 0.750 x2


# 5
Li2IrPb after structural relaxation, computed with PBE.

Computed properties:
* total energy: -31.7 eV per cell
* energy relative to the elements: 137 meV/atom
* theoretical density: 9.423 g/cm³

a = 3.270 Å, b = 4.869 Å, c = 9.149 Å
α = 90.00°, β = 90.00°, γ = 90.00°
Space group Cmmm (No. 65)
Unique sites:
1 Li 0.000 0.000 0.211 x4
2 Ir 0.000 0.500 0.000 x2
3 Pb 0.000 0.500 0.500 x2


# 6
LiIr2Pb after structural relaxation, computed with PBE.

Computed properties:
* total energy: -22.6 eV per cell
* energy relative to the elements: 189 meV/atom
* theoretical density: 14.661 g/cm³

a = 2.888 Å, b = 4.070 Å, c = 5.768 Å
α = 90.00°, β = 90.00°, γ = 90.00°
Space group Pmm2 (No. 25)
Unique sites:
1 Li 0.000 0.000 0.000 x1
2 Ir 0.000 0.000 0.573 x1
3 Ir 0.500 0.500 0.756 x1
4 Pb 0.500 0.500 0.264 x1